No. 1
Cs2ZrInI6 PBE optimized geometry; magnetic moment = 1.00 Bohr magnetons per cell; space-group type = Fm-3m (225); energy relative to the elements, uncorrected = -996 kJ/mol of formula units
1.0
0.0000 6.2654 6.2654
6.2654 0.0000 6.2654
6.2654 6.2654 0.0000
Cs Zr In I
2 1 1 6
Direct
0.2500 0.2500 0.2500
0.7500 0.7500 0.7500
0.0000 0.0000 0.0000
0.5000 0.5000 0.5000
0.2341 0.2341 0.7659
0.2341 0.7659 0.2341
0.2341 0.7659 0.7659
0.7659 0.2341 0.2341
0.7659 0.2341 0.7659
0.7659 0.7659 0.2341

***

No. 2
Pu2FeAg PBE optimized geometry; magnetic moment = 11.37 Bohr magnetons per cell; VASP energy = -9.521 eV/atom; space-group type = R-3m (166)
1.0
1.4191 0.8193 11.1772
-1.4191 0.8193 11.1772
0.0000 -1.6387 11.1772
Pu Fe Ag
2 1 1
Direct
0.0921 0.0921 0.0921
0.9079 0.9079 0.9079
0.5000 0.5000 0.5000
0.0000 0.0000 0.0000

***

No. 3
AcTa4S8 PBE optimized geometry; magnetic moment = 0.00 Bohr magnetons per cell; space-group type = F-43m (216); energy relative to the elements, uncorrected = -1354 kJ/mol of formula units
1.0
0.0000 5.2314 5.2314
5.2314 0.0000 5.2314
5.2314 5.2314 0.0000
Ac Ta S
1 4 8
Direct
0.0000 0.0000 0.0000
0.1869 0.6044 0.6044
0.6044 0.1869 0.6044
0.6044 0.6044 0.1869
0.6044 0.6044 0.6044
0.3724 0.3724 0.3724
0.3724 0.3724 0.8829
0.3724 0.8829 0.3724
0.4485 0.8505 0.8505
0.8505 0.4485 0.8505
0.8505 0.8505 0.4485
0.8505 0.8505 0.8505
0.8829 0.3724 0.3724

***

No. 4
SrAc2Ho PBE optimized geometry; magnetic moment = 0.00 Bohr magnetons per cell; VASP energy = -3.473 eV/atom; space-group type = Fm-3m (225)
1.0
0.0000 4.3943 4.3943
4.3943 0.0000 4.3943
4.3943 4.3943 0.0000
Sr Ac Ho
1 2 1
Direct
0.0000 0.0000 0.0000
0.2500 0.2500 0.2500
0.7500 0.7500 0.7500
0.5000 0.5000 0.5000

***

No. 5
Y2TaMo PBE optimized geometry; magnetic moment = 0.00 Bohr magnetons per cell; VASP energy = -8.379 eV/atom; space-group type = P2/m (10)
1.0
3.0622 0.0000 0.0000
0.0000 5.0003 0.0000
-1.2463 0.0000 5.7656
Y Ta Mo
2 1 1
Direct
0.0936 0.0000 0.2541
0.9064 0.0000 0.7459
0.5000 0.5000 0.0000
0.5000 0.5000 0.5000

***

No. 6
In2ReBr PBE optimized geometry; magnetic moment = 0.00 Bohr magnetons per cell; space-group type = Cm (8); energy relative to the elements, uncorrected = 170 kJ/mol of formula units
1.0
5.4094 -1.4893 0.0000
5.4094 1.4893 0.0000
-2.7256 0.0000 5.7930
In Re Br
2 1 1
Direct
0.0000 0.0000 0.0000
0.1432 0.1432 0.5713
0.7297 0.7297 0.9803
0.3337 0.3337 0.3366

***

No. 7
TmBe3Ga3 PBE optimized geometry; magnetic moment = 0.00 Bohr magnetons per cell; VASP energy = -3.153 eV/atom; space-group type = Pm-3n (223)
1.0
6.2600 0.0000 0.0000
0.0000 6.2600 0.0000
0.0000 0.0000 6.2600
Tm Be Ga
2 6 6
Direct
0.0000 0.0000 0.0000
0.5000 0.5000 0.5000
0.0000 0.2500 0.5000
0.0000 0.7500 0.5000
0.2500 0.5000 0.0000
0.5000 0.0000 0.2500
0.5000 0.0000 0.7500
0.7500 0.5000 0.0000
0.0000 0.5000 0.2500
0.0000 0.5000 0.7500
0.2500 0.0000 0.5000
0.5000 0.2500 0.0000
0.5000 0.7500 0.0000
0.7500 0.0000 0.5000

***

No. 8
CaNd2Cd PBE optimized geometry; magnetic moment = 0.00 Bohr magnetons per cell; VASP energy = -3.167 eV/atom; space-group type = Fm-3m (225)
1.0
0.0000 3.9901 3.9901
3.9901 0.0000 3.9901
3.9901 3.9901 0.0000
Ca Nd Cd
1 2 1
Direct
0.0000 0.0000 0.0000
0.2500 0.2500 0.2500
0.7500 0.7500 0.7500
0.5000 0.5000 0.5000

***

No. 9
GdNpCu4 PBE optimized geometry; magnetic moment = 11.86 Bohr magnetons per cell; VASP energy = -7.144 eV/atom; space-group type = F-43m (216)
1.0
0.0000 3.7181 3.7181
3.7181 0.0000 3.7181
3.7181 3.7181 0.0000
Gd Np Cu
1 1 4
Direct
0.0000 0.0000 0.0000
0.7500 0.7500 0.7500
0.3749 0.3749 0.3749
0.3749 0.3749 0.8753
0.3749 0.8753 0.3749
0.8753 0.3749 0.3749

***

No. 10
KCeBr4 PBE optimized geometry; magnetic moment = 1.00 Bohr magnetons per cell; space-group type = C2/m (12); energy relative to the elements, uncorrected = -1037 kJ/mol of formula units
1.0
6.6379 -2.2819 0.0000
6.6379 2.2819 0.0000
-1.8503 0.0000 8.2503
K Ce Br
1 1 4
Direct
0.0000 0.0000 0.0000
0.5000 0.5000 0.5000
0.1209 0.1209 0.4078
0.3818 0.3818 0.1732
0.6182 0.6182 0.8268
0.8791 0.8791 0.5922

***

No. 11
Be2ZnC PBE optimized geometry; magnetic moment = 0.00 Bohr magnetons per cell; VASP energy = -3.297 eV/atom; space-group type = Fm-3m (225)
1.0
0.0000 2.6941 2.6941
2.6941 0.0000 2.6941
2.6941 2.6941 0.0000
Be Zn C
2 1 1
Direct
0.2500 0.2500 0.2500
0.7500 0.7500 0.7500
0.0000 0.0000 0.0000
0.5000 0.5000 0.5000

***

No. 12
Cs2AsIr PBE optimized geometry; magnetic moment = 0.00 Bohr magnetons per cell; VASP energy = -3.844 eV/atom; space-group type = I-42d (122)
1.0
-6.4844 6.4844 2.3186
6.4844 -6.4844 2.3186
6.4844 6.4844 -2.3186
Cs As Ir
4 2 2
Direct
0.3750 0.2043 0.3293
0.7957 0.1250 0.1707
0.8750 0.0457 0.6707
0.9543 0.6250 0.8293
0.2500 0.7500 0.5000
0.5000 0.5000 0.0000
0.0000 0.0000 0.0000
0.7500 0.2500 0.5000